The following is a DFT calculation (PBE) of a relaxed YCuP crystal.

a b c (Å): 6.9830 6.9830 3.8944
angles (deg): 90.00 90.00 120.00
Atoms (fractional coordinates):
Y1 0.0000 0.3690 0.0000
Y2 0.3690 0.0000 0.0000
Y3 0.6310 0.6310 0.0000
Cu1 0.0000 0.0000 0.0000
Cu2 0.3333 0.6667 0.5000
Cu3 0.6667 0.3333 0.5000
P1 0.0000 0.6828 0.5000
P2 0.3172 0.3172 0.5000
P3 0.6828 0.0000 0.5000

Properties
**Space group**: P-62m, No. 189
**Density of states at the Fermi level**: 4.7 states/eV per cell
**Energy**: -6.017 eV per atom

=====

The following is a DFT calculation (PBE) of a relaxed YCu3P crystal.

a b c (Å): 4.9860 4.9860 4.9860
angles (deg): 90.00 90.00 90.00
Atoms (fractional coordinates):
Y1 0.0000 0.0000 0.0000
Cu1 0.0000 0.0000 0.5000
Cu2 0.0000 0.5000 0.0000
Cu3 0.5000 0.0000 0.0000
P1 0.5000 0.5000 0.5000

Properties
**Space group**: Pm-3m, No. 221
**Density of states at the Fermi level**: 3.6 states/eV per cell
**Energy**: -3.265 eV per atom

=====

The following is a DFT calculation (PBE) of a relaxed YCuP crystal.

a b c (Å): 6.8284 6.8284 3.8885
angles (deg): 90.00 90.00 120.00
Atoms (fractional coordinates):
Y1 0.0000 0.4079 0.0000
Y2 0.4079 0.0000 0.0000
Y3 0.5921 0.5921 0.0000
Cu1 0.0000 0.7678 0.5000
Cu2 0.2322 0.2322 0.5000
Cu3 0.7678 0.0000 0.5000
P1 0.0000 0.0000 0.0000
P2 0.3333 0.6667 0.5000
P3 0.6667 0.3333 0.5000

Properties
**Space group**: P-62m, No. 189
**Density of states at the Fermi level**: 7.7 states/eV per cell
**Energy**: -6.122 eV per atom

=====

The following is a DFT calculation (PBE) of a relaxed YCuP crystal.

a b c (Å): 8.8166 8.8166 3.8052
angles (deg): 102.37 102.37 23.83
Atoms (fractional coordinates):
Y1 0.0000 0.0000 0.0000
Y2 0.1950 0.1950 0.6923
Cu1 0.3560 0.3560 0.3513
Cu2 0.8368 0.8368 0.8324
P1 0.5585 0.5585 0.5584
P2 0.7566 0.7566 0.2531

Properties
**Space group**: Cm, No. 8
**Density of states at the Fermi level**: 1.0 states/eV per cell
**Energy**: -6.070 eV per atom

=====

The following is a DFT calculation (PBE) of a relaxed YCu3P crystal.

a b c (Å): 4.4129 4.4129 4.4129
angles (deg): 90.00 90.00 90.00
Atoms (fractional coordinates):
Y1 0.0000 0.0000 0.0000
Cu1 0.0000 0.5000 0.5000
Cu2 0.5000 0.0000 0.5000
Cu3 0.5000 0.5000 0.0000
P1 0.5000 0.5000 0.5000

Properties
**Space group**: Pm-3m, No. 221
**Density of states at the Fermi level**: 3.7 states/eV per cell
**Energy**: -4.858 eV per atom

=====

The following is a DFT calculation (PBE) of a relaxed YCuP4 crystal.

a b c (Å): 5.1780 5.1780 5.1780
angles (deg): 60.00 60.00 60.00
Atoms (fractional coordinates):
Y1 0.0000 0.0000 0.0000
Cu1 0.7500 0.7500 0.7500
P1 0.3807 0.3807 0.3807
P2 0.3807 0.3807 0.8579
P3 0.3807 0.8579 0.3807
P4 0.8579 0.3807 0.3807

Properties
**Space group**: F-43m, No. 216
**Density of states at the Fermi level**: 2.8 states/eV per cell
**Energy**: -5.321 eV per atom

=====

The following is a DFT calculation (PBE) of a relaxed YCuP crystal.

a b c (Å): 5.6636 5.3449 3.4942
angles (deg): 76.53 66.60 36.87
Atoms (fractional coordinates):
Y1 0.0000 0.0000 0.0000
Cu1 0.2963 0.2963 0.7037
P1 0.6876 0.6876 0.3124

Properties
**Space group**: Fmm2, No. 42
**Density of states at the Fermi level**: 2.4 states/eV per cell
**Energy**: -5.719 eV per atom

=====

The following is a DFT calculation (PBE) of a relaxed Y5CuP3 crystal.

a b c (Å): 8.5178 8.5178 6.0730
angles (deg): 90.00 90.00 120.00
Atoms (fractional coordinates):
Y1 0.0000 0.2748 0.2500
Y2 0.0000 0.7252 0.7500
Y3 0.2748 0.0000 0.2500
Y4 0.2748 0.2748 0.7500
Y5 0.3333 0.6667 0.0000
Y6 0.3333 0.6667 0.5000
Y7 0.6667 0.3333 0.0000
Y8 0.6667 0.3333 0.5000
Y9 0.7252 0.0000 0.7500
Y10 0.7252 0.7252 0.2500
Cu1 0.0000 0.0000 0.0000
Cu2 0.0000 0.0000 0.5000
P1 0.0000 0.3805 0.7500
P2 0.0000 0.6195 0.2500
P3 0.3805 0.0000 0.7500
P4 0.3805 0.3805 0.2500
P5 0.6195 0.0000 0.2500
P6 0.6195 0.6195 0.7500

Properties
**Space group**: P6_3/mcm, No. 193
**Density of states at the Fermi level**: 20.1 states/eV per cell
**Energy**: -6.773 eV per atom

=====

The following is a DFT calculation (PBE) of a relaxed YCuP crystal.

a b c (Å): 4.3715 4.3715 4.3715
angles (deg): 60.00 60.00 60.00
Atoms (fractional coordinates):
Y1 0.0000 0.0000 0.0000
Cu1 0.5000 0.5000 0.5000
P1 0.7500 0.7500 0.7500

Properties
**Space group**: F-43m, No. 216
**Density of states at the Fermi level**: 1.7 states/eV per cell
**Energy**: -5.901 eV per atom

=====

The following is a DFT calculation (PBE) of a relaxed YCuP crystal.

a b c (Å): 8.3499 8.3499 8.3499
angles (deg): 27.80 27.80 27.80
Atoms (fractional coordinates):
Y1 0.0000 0.0000 0.0000
Y2 0.4634 0.4634 0.4634
Cu1 0.2394 0.2394 0.2394
Cu2 0.8719 0.8719 0.8719
P1 0.5897 0.5897 0.5897
P2 0.7345 0.7345 0.7345

Properties
**Space group**: R3m, No. 160
**Density of states at the Fermi level**: 2.9 states/eV per cell
**Energy**: -6.172 eV per atom

=====

The following is a DFT calculation (PBE) of a relaxed YCuP crystal.

a b c (Å): 5.2575 5.2575 5.9350
angles (deg): 99.12 99.12 45.70
Atoms (fractional coordinates):
Y1 0.1228 0.1228 0.2685
Y2 0.8772 0.8772 0.7315
Cu1 0.3917 0.3917 0.0886
Cu2 0.6083 0.6083 0.9114
P1 0.1716 0.1716 0.7486
P2 0.8284 0.8284 0.2514

Properties
**Space group**: C2/m, No. 12
**Density of states at the Fermi level**: 0.9 states/eV per cell
**Energy**: -6.222 eV per atom

=====

The following is a DFT calculation (PBE) of a relaxed YCuP crystal.

a b c (Å): 4.4440 4.4440 7.4950
angles (deg): 100.53 100.53 54.66
Atoms (fractional coordinates):
Y1 0.0000 0.0000 0.0000
Y2 0.7434 0.7434 0.3971
Cu1 0.2902 0.2902 0.8359
Cu2 0.5605 0.5605 0.7145
P1 0.0889 0.0889 0.5825
P2 0.3534 0.3534 0.1717

Properties
**Space group**: Cm, No. 8
**Density of states at the Fermi level**: 2.8 states/eV per cell
**Energy**: -6.105 eV per atom

=====

The following is a DFT calculation (PBE) of a relaxed YCuP crystal.

a b c (Å): 8.0536 8.0536 8.0536
angles (deg): 29.21 29.21 29.21
Atoms (fractional coordinates):
Y1 0.2317 0.2317 0.2317
Y2 0.7683 0.7683 0.7683
Cu1 0.3604 0.3604 0.3604
Cu2 0.6396 0.6396 0.6396
P1 0.0000 0.0000 0.0000
P2 0.5000 0.5000 0.5000

Properties
**Space group**: R-3m, No. 166
**Density of states at the Fermi level**: 2.2 states/eV per cell
**Energy**: -6.133 eV per atom

=====

The following is a DFT calculation (PBE) of a relaxed YCuP crystal.

a b c (Å): 5.5491 5.5491 5.7443
angles (deg): 105.70 105.70 41.86
Atoms (fractional coordinates):
Y1 0.0000 0.0000 0.0000
Y2 0.6449 0.6449 0.5816
Cu1 0.2857 0.2857 0.0074
Cu2 0.9112 0.9112 0.4525
P1 0.3669 0.3669 0.6684
P2 0.7111 0.7111 0.1183

Properties
**Space group**: Cm, No. 8
**Density of states at the Fermi level**: 1.8 states/eV per cell
**Energy**: -6.149 eV per atom

=====

The following is a DFT calculation (PBE) of a relaxed Y2Cu2P crystal.

a b c (Å): 6.9345 6.9345 4.0137
angles (deg): 90.00 90.00 90.00
Atoms (fractional coordinates):
Y1 0.1765 0.3235 0.0000
Y2 0.3235 0.8235 0.0000
Y3 0.6765 0.1765 0.0000
Y4 0.8235 0.6765 0.0000
Cu1 0.1234 0.6234 0.5000
Cu2 0.3766 0.1234 0.5000
Cu3 0.6234 0.8766 0.5000
Cu4 0.8766 0.3766 0.5000
P1 0.0000 0.0000 0.5000
P2 0.5000 0.5000 0.5000

Properties
**Space group**: P4/mbm, No. 127
**Density of states at the Fermi level**: 5.3 states/eV per cell
**Energy**: -5.750 eV per atom

=====

The following is a DFT calculation (PBE) of a relaxed YCuP crystal.

a b c (Å): 3.9913 3.9913 8.1601
angles (deg): 90.00 90.00 120.00
Atoms (fractional coordinates):
Y1 0.3333 0.6667 0.3089
Y2 0.6667 0.3333 0.6911
Cu1 0.3333 0.6667 0.9258
Cu2 0.6667 0.3333 0.0742
P1 0.0000 0.0000 0.0000
P2 0.0000 0.0000 0.5000

Properties
**Space group**: P-3m1, No. 164
**Density of states at the Fermi level**: 2.9 states/eV per cell
**Energy**: -6.135 eV per atom

=====

The following is a DFT calculation (PBE) of a relaxed YCuP crystal.

a b c (Å): 5.3776 5.3776 5.8833
angles (deg): 102.81 102.81 43.11
Atoms (fractional coordinates):
Y1 0.0000 0.0000 0.0000
Y2 0.6622 0.6622 0.5651
Cu1 0.3076 0.3076 0.2543
Cu2 0.9420 0.9420 0.4679
P1 0.3819 0.3819 0.6652
P2 0.7188 0.7188 0.0863

Properties
**Space group**: Cm, No. 8
**Density of states at the Fermi level**: 2.5 states/eV per cell
**Energy**: -6.156 eV per atom

=====

The following is a DFT calculation (PBE) of a relaxed YCu2P2 crystal.

a b c (Å): 4.1114 4.1114 9.3931
angles (deg): 90.00 90.00 90.00
Atoms (fractional coordinates):
Y1 0.2500 0.2500 0.2400
Y2 0.7500 0.7500 0.7600
Cu1 0.2500 0.2500 0.8759
Cu2 0.2500 0.7500 0.5000
Cu3 0.7500 0.2500 0.5000
Cu4 0.7500 0.7500 0.1241
P1 0.2500 0.2500 0.6359
P2 0.2500 0.7500 0.0000
P3 0.7500 0.2500 0.0000
P4 0.7500 0.7500 0.3641

Properties
**Space group**: P4/nmm, No. 129
**Density of states at the Fermi level**: 2.4 states/eV per cell
**Energy**: -5.697 eV per atom

=====

The following is a DFT calculation (PBE) of a relaxed YCu4P3 crystal.

a b c (Å): 3.9417 3.9417 7.6506
angles (deg): 90.00 90.00 90.00
Atoms (fractional coordinates):
Y1 0.0000 0.0000 0.0000
Cu1 0.0000 0.5000 0.3211
Cu2 0.0000 0.5000 0.6789
Cu3 0.5000 0.0000 0.3211
Cu4 0.5000 0.0000 0.6789
P1 0.0000 0.0000 0.5000
P2 0.5000 0.5000 0.1492
P3 0.5000 0.5000 0.8508

Properties
**Space group**: P4/mmm, No. 123
**Density of states at the Fermi level**: 0.8 states/eV per cell
**Energy**: -5.319 eV per atom

=====

The following is a DFT calculation (PBE) of a relaxed YCu2P2 crystal.

a b c (Å): 6.2812 6.2812 6.0133
angles (deg): 116.04 116.04 98.13
Atoms (fractional coordinates):
Y1 0.1258 0.8742 0.7500
Y2 0.8742 0.1258 0.2500
Cu1 0.2273 0.4811 0.9615
Cu2 0.4811 0.2273 0.4615
Cu3 0.5189 0.7727 0.5385
Cu4 0.7727 0.5189 0.0385
P1 0.1655 0.8345 0.2500
P2 0.4190 0.5810 0.7500
P3 0.5810 0.4190 0.2500
P4 0.8345 0.1655 0.7500

Properties
**Space group**: C2/c, No. 15
**Density of states at the Fermi level**: 4.6 states/eV per cell
**Energy**: -5.674 eV per atom